[1]
A geometry-optimized SnPdF6 structure. Source: the Alexandria database, functional PBE.

The total moment comes out at 0.24 μB per atom. The value obtained for the total energy is -71.863 eV for the cell shown. The space group is P-31c (163). Its volume is 233 Å³ per cell. The calculation puts the raw formation energy at -1939 meV/atom.

a b c (Å): 5.2054 5.2054 9.9205
angles (deg): 90.00 90.00 120.00
Positions (direct):
Sn: 0.0000 0.0000 0.0000
Sn: 0.0000 0.0000 0.5000
Pd: 0.3333 0.6667 0.2500
Pd: 0.6667 0.3333 0.7500
F: 0.0043 0.3172 0.1177
F: 0.0043 0.6870 0.3823
F: 0.3130 0.3172 0.3823
F: 0.3130 0.9957 0.1177
F: 0.3172 0.0043 0.6177
F: 0.3172 0.3130 0.8823
F: 0.6828 0.6870 0.1177
F: 0.6828 0.9957 0.3823
F: 0.6870 0.0043 0.8823
F: 0.6870 0.6828 0.6177
F: 0.9957 0.3130 0.6177
F: 0.9957 0.6828 0.8823


[2]
A geometry-optimized AgHgIN2 structure. Source: the Alexandria database, functional PBE.

The total moment comes out at 0.67 μB per atom. The value obtained for the excess energy over the best structure of this formula in the dataset is 45 meV/atom. The value obtained for the total energy is -12.978 eV for the cell shown. The space group is P4/mmm (123). Its volume is 147 Å³ per cell. The calculation puts the raw formation energy at 1675 meV/atom.

a b c (Å): 4.2689 4.2689 8.0893
angles (deg): 90.00 90.00 90.00
Positions (direct):
Ag: 0.0000 0.0000 0.0000
Hg: 0.5000 0.5000 0.5000
I: 0.5000 0.5000 0.0000
N: 0.0000 0.5000 0.5000
N: 0.5000 0.0000 0.5000


[3]
A geometry-optimized TlCo2Cl5 structure. Source: the Alexandria database, functional PBE.

The total moment comes out at 0.75 μB per atom. The value obtained for the total energy is -60.796 eV for the cell shown. The space group is Cmcm (63). Its volume is 502 Å³ per cell. The calculation puts the raw formation energy at -573 meV/atom.

a b c (Å): 8.7334 8.7334 11.6715
angles (deg): 90.00 90.00 145.64
Positions (direct):
Tl: 0.0551 0.9449 0.7500
Tl: 0.9449 0.0551 0.2500
Co: 0.2153 0.7847 0.0930
Co: 0.2153 0.7847 0.4070
Co: 0.7847 0.2153 0.5930
Co: 0.7847 0.2153 0.9070
Cl: 0.0832 0.9168 0.0858
Cl: 0.0832 0.9168 0.4142
Cl: 0.2748 0.7252 0.5798
Cl: 0.2748 0.7252 0.9202
Cl: 0.3010 0.6990 0.2500
Cl: 0.6990 0.3010 0.7500
Cl: 0.7252 0.2748 0.0798
Cl: 0.7252 0.2748 0.4202
Cl: 0.9168 0.0832 0.5858
Cl: 0.9168 0.0832 0.9142


[4]
A geometry-optimized TbMgAgPd structure. Source: the Alexandria database, functional PBE.

The formation energy is -0.53 eV per atom. The total moment comes out at 0.00 μB per atom. The value obtained for the total energy is -65.586 eV for the cell shown. The space group is F-43m (216). Its volume is 328 Å³ per cell.

a b c (Å): 6.8943 6.8943 6.8943
angles (deg): 90.00 90.00 90.00
Positions (direct):
Tb: 0.0000 0.0000 0.0000
Tb: 0.0000 0.5000 0.5000
Tb: 0.5000 0.0000 0.5000
Tb: 0.5000 0.5000 0.0000
Mg: 0.0000 0.0000 0.5000
Mg: 0.0000 0.5000 0.0000
Mg: 0.5000 0.0000 0.0000
Mg: 0.5000 0.5000 0.5000
Ag: 0.2500 0.2500 0.2500
Ag: 0.2500 0.7500 0.7500
Ag: 0.7500 0.2500 0.7500
Ag: 0.7500 0.7500 0.2500
Pd: 0.2500 0.2500 0.7500
Pd: 0.2500 0.7500 0.2500
Pd: 0.7500 0.2500 0.2500
Pd: 0.7500 0.7500 0.7500


[5]
A geometry-optimized RbP2O2 structure. Source: the Alexandria database, functional PBE.

The total moment comes out at 1.13 μB per atom. The value obtained for the excess energy over the best structure of this formula in the dataset is 2188 meV/atom. The value obtained for the total energy is -11.273 eV for the cell shown. The space group is P4/mmm (123). Its volume is 218 Å³ per cell. The calculation puts the raw formation energy at 2086 meV/atom.

a b c (Å): 6.8592 6.8592 4.6312
angles (deg): 90.00 90.00 90.00
Positions (direct):
Rb: 0.0000 0.0000 0.0000
P: 0.0000 0.5000 0.0000
P: 0.5000 0.0000 0.0000
O: 0.0000 0.0000 0.5000
O: 0.5000 0.5000 0.5000


[6]
A geometry-optimized LaAl2Co structure. Source: the Alexandria database, functional PBE.

The formation energy is -0.12 eV per atom. The total moment comes out at 0.03 μB per atom. The value obtained for the total energy is -39.963 eV for the cell shown. The space group is Immm (71). Its volume is 152 Å³ per cell.

a b c (Å): 2.9738 4.8866 10.4439
angles (deg): 90.00 90.00 90.00
Positions (direct):
La: 0.0000 0.0000 0.0000
La: 0.5000 0.5000 0.5000
Al: 0.0000 0.5000 0.2020
Al: 0.0000 0.5000 0.7980
Al: 0.5000 0.0000 0.2980
Al: 0.5000 0.0000 0.7020
Co: 0.0000 0.0000 0.5000
Co: 0.5000 0.5000 0.0000


[7]
A geometry-optimized BaCaCd4 structure. Source: the Alexandria database, functional PBE.

The formation energy is -0.34 eV per atom. The total moment comes out at 0.00 μB per atom. The value obtained for the excess energy over the best structure of this formula in the dataset is 0 meV/atom. The value obtained for the total energy is -9.630 eV for the cell shown. The space group is P6/mmm (191). Its volume is 183 Å³ per cell.

a b c (Å): 5.0810 5.0810 8.1720
angles (deg): 90.00 90.00 120.00
Positions (direct):
Ba: 0.0000 0.0000 0.0000
Ca: 0.0000 0.0000 0.5000
Cd: 0.3333 0.6667 0.2965
Cd: 0.3333 0.6667 0.7035
Cd: 0.6667 0.3333 0.2965
Cd: 0.6667 0.3333 0.7035


[8]
A geometry-optimized PrSmPd2 structure. Source: the Alexandria database, functional PBE.

The formation energy is -0.81 eV per atom. The total moment comes out at 0.00 μB per atom. The value obtained for the excess energy over the best structure of this formula in the dataset is 0 meV/atom. The value obtained for the total energy is -46.281 eV for the cell shown. The space group is Amm2 (38). Its volume is 196 Å³ per cell.

a b c (Å): 4.6286 3.8977 10.8658
angles (deg): 90.00 90.00 90.00
Positions (direct):
Pr: 0.0000 0.0000 0.0000
Pr: 0.0000 0.5000 0.5000
Sm: 0.5000 0.0000 0.7265
Sm: 0.5000 0.5000 0.2265
Pd: 0.0000 0.0000 0.2760
Pd: 0.0000 0.5000 0.7760
Pd: 0.5000 0.0000 0.4468
Pd: 0.5000 0.5000 0.9468


[9]
A geometry-optimized Y2CuNiRh structure. Source: the Alexandria database, functional PBE.

The formation energy is 0.23 eV per atom. The total moment comes out at 0.00 μB per atom. The value obtained for the total energy is -29.026 eV for the cell shown. The space group is P4/mmm (123). Its volume is 111 Å³ per cell.

a b c (Å): 5.1493 5.1493 4.1973
angles (deg): 90.00 90.00 90.00
Positions (direct):
Y: 0.0000 0.5000 0.0000
Y: 0.5000 0.0000 0.0000
Cu: 0.0000 0.0000 0.0000
Ni: 0.0000 0.0000 0.5000
Rh: 0.5000 0.5000 0.5000


[10]
A geometry-optimized CaCuAu3 structure. Source: the Alexandria database, functional PBE.

The formation energy is 0.84 eV per atom. The total moment comes out at 0.00 μB per atom. The value obtained for the excess energy over the best structure of this formula in the dataset is 1208 meV/atom. The value obtained for the total energy is -11.748 eV for the cell shown. The space group is Pm-3m (221). Its volume is 159 Å³ per cell.

a b c (Å): 5.4172 5.4172 5.4172
angles (deg): 90.00 90.00 90.00
Positions (direct):
Ca: 0.0000 0.0000 0.0000
Cu: 0.5000 0.5000 0.5000
Au: 0.0000 0.0000 0.5000
Au: 0.0000 0.5000 0.0000
Au: 0.5000 0.0000 0.0000


[11]
A geometry-optimized BaNa6Hg3 structure. Source: the Alexandria database, functional PBE.

The formation energy is -0.21 eV per atom. The total moment comes out at 0.00 μB per atom. The value obtained for the total energy is -25.677 eV for the cell shown. The space group is P2_1/m (11). Its volume is 642 Å³ per cell.

a b c (Å): 10.1206 5.3907 12.7034
angles (deg): 90.00 112.08 90.00
Positions (direct):
Ba: 0.0380 0.2500 0.2207
Ba: 0.9620 0.7500 0.7793
Na: 0.1228 0.7500 0.5093
Na: 0.2199 0.2500 0.7010
Na: 0.2461 0.2500 0.9904
Na: 0.3427 0.7500 0.3583
Na: 0.4545 0.7500 0.1125
Na: 0.4792 0.7500 0.6662
Na: 0.5208 0.2500 0.3338
Na: 0.5455 0.2500 0.8875
Na: 0.6573 0.2500 0.6417
Na: 0.7539 0.7500 0.0096
Na: 0.7801 0.7500 0.2990
Na: 0.8772 0.2500 0.4907
Hg: 0.1187 0.7500 0.0791
Hg: 0.3134 0.2500 0.4922
Hg: 0.3327 0.7500 0.8469
Hg: 0.6673 0.2500 0.1531
Hg: 0.6866 0.7500 0.5078
Hg: 0.8813 0.2500 0.9209


[12]
A geometry-optimized YRuOF2 structure. Source: the Alexandria database, functional PBE.

The total moment comes out at 0.62 μB per atom. The value obtained for the excess energy over the best structure of this formula in the dataset is 0 meV/atom. The value obtained for the total energy is -33.077 eV for the cell shown. The space group is P4/mmm (123). Its volume is 85 Å³ per cell. The calculation puts the raw formation energy at -1727 meV/atom.

a b c (Å): 4.3549 4.3549 4.4778
angles (deg): 90.00 90.00 90.00
Positions (direct):
Y: 0.0000 0.0000 0.0000
Ru: 0.5000 0.5000 0.5000
O: 0.0000 0.0000 0.5000
F: 0.0000 0.5000 0.0000
F: 0.5000 0.0000 0.0000


[13]
A geometry-optimized Cr2CoSi structure. Source: the Alexandria database, functional PBE.

The total moment comes out at 0.24 μB per atom. The value obtained for the total energy is -32.068 eV for the cell shown. The space group is P4mm (99). Its volume is 45 Å³ per cell. The calculation puts the raw formation energy at -73 meV/atom.

a b c (Å): 2.5939 2.5939 6.7358
angles (deg): 90.00 90.00 90.00
Positions (direct):
Cr: 0.0000 0.0000 0.0000
Cr: 0.5000 0.5000 0.2734
Co: 0.5000 0.5000 0.7446
Si: 0.0000 0.0000 0.5248


[14]
A geometry-optimized CdIn2NiHg structure. Source: the Alexandria database, functional PBE.

The formation energy is -0.02 eV per atom. The total moment comes out at 0.00 μB per atom. The value obtained for the excess energy over the best structure of this formula in the dataset is 0 meV/atom. The value obtained for the total energy is -12.552 eV for the cell shown. The space group is P4/mmm (123). Its volume is 127 Å³ per cell.

a b c (Å): 4.9710 4.9710 5.1302
angles (deg): 90.00 90.00 90.00
Positions (direct):
Cd: 0.0000 0.0000 0.0000
In: 0.0000 0.5000 0.5000
In: 0.5000 0.0000 0.5000
Ni: 0.0000 0.0000 0.5000
Hg: 0.5000 0.5000 0.0000


[15]
A geometry-optimized TiTcP3 structure. Source: the Alexandria database, functional PBE.

The formation energy is 0.64 eV per atom. The total moment comes out at 0.06 μB per atom. The value obtained for the excess energy over the best structure of this formula in the dataset is 0 meV/atom. The value obtained for the total energy is -31.291 eV for the cell shown. The space group is Pm-3m (221). Its volume is 97 Å³ per cell.

a b c (Å): 4.5903 4.5903 4.5903
angles (deg): 90.00 90.00 90.00
Positions (direct):
Ti: 0.0000 0.0000 0.0000
Tc: 0.5000 0.5000 0.5000
P: 0.0000 0.5000 0.5000
P: 0.5000 0.0000 0.5000
P: 0.5000 0.5000 0.0000


[16]
A geometry-optimized Ba2LiInHg6 structure. Source: the Alexandria database, functional PBE.

The formation energy is -0.32 eV per atom. The total moment comes out at 0.00 μB per atom. The value obtained for the total energy is -13.533 eV for the cell shown. The space group is P-1 (2). Its volume is 300 Å³ per cell.

a b c (Å): 7.4184 7.4469 7.5370
angles (deg): 60.89 89.60 60.19
Positions (direct):
Ba: 0.2006 0.3923 0.2998
Ba: 0.7994 0.6077 0.7002
Li: 0.0000 0.0000 0.5000
In: 0.5000 0.0000 0.0000
Hg: 0.1392 0.0053 0.8271
Hg: 0.3268 0.5311 0.8278
Hg: 0.3362 0.8061 0.3601
Hg: 0.6638 0.1939 0.6399
Hg: 0.6732 0.4689 0.1722
Hg: 0.8608 0.9947 0.1729


[17]
A geometry-optimized Ac6CoSi2I3 structure. Source: the Alexandria database, functional PBE.

The total moment comes out at 0.00 μB per atom. The value obtained for the total energy is -56.458 eV for the cell shown. The space group is C2/m (12). Its volume is 439 Å³ per cell. The calculation puts the raw formation energy at -767 meV/atom.

a b c (Å): 7.8361 7.8361 8.5843
angles (deg): 99.05 99.05 118.81
Positions (direct):
Ac: 0.0624 0.3705 0.1873
Ac: 0.2565 0.2565 0.7968
Ac: 0.3705 0.0624 0.1873
Ac: 0.6295 0.9376 0.8127
Ac: 0.7435 0.7435 0.2032
Ac: 0.9376 0.6295 0.8127
Co: 0.0000 0.0000 0.0000
Si: 0.3340 0.6660 0.0000
Si: 0.6660 0.3340 0.0000
I: 0.1771 0.8229 0.5000
I: 0.5000 0.5000 0.5000
I: 0.8229 0.1771 0.5000


[18]
A geometry-optimized Pr8Ni2Ir structure. Source: the Alexandria database, functional PBE.

The formation energy is -0.14 eV per atom. The total moment comes out at 0.00 μB per atom. The value obtained for the excess energy over the best structure of this formula in the dataset is 66 meV/atom. The value obtained for the total energy is -60.162 eV for the cell shown. The space group is Cm (8). Its volume is 331 Å³ per cell.

a b c (Å): 7.5800 7.5800 6.6028
angles (deg): 101.45 101.45 111.08
Positions (direct):
Pr: 0.0000 0.0000 0.0000
Pr: 0.0035 0.2758 0.5877
Pr: 0.1774 0.5559 0.2221
Pr: 0.2758 0.0035 0.5877
Pr: 0.4361 0.7143 0.8421
Pr: 0.5559 0.1774 0.2221
Pr: 0.7143 0.4361 0.8421
Pr: 0.7189 0.7189 0.3998
Ni: 0.0341 0.6672 0.6932
Ni: 0.6672 0.0341 0.6932
Ir: 0.3466 0.3466 0.9734


[19]
A geometry-optimized PrNd4DyS8 structure. Source: the Alexandria database, functional PBE.

The total moment comes out at 0.00 μB per atom. The value obtained for the total energy is -88.150 eV for the cell shown. The space group is R3m (160). Its volume is 406 Å³ per cell. The calculation puts the raw formation energy at -1906 meV/atom.

a b c (Å): 8.3182 8.3182 8.3182
angles (deg): 59.95 59.95 59.95
Positions (direct):
Pr: 0.0000 0.0000 0.0000
Nd: 0.0001 0.0001 0.5058
Nd: 0.0001 0.5058 0.0001
Nd: 0.3765 0.3765 0.3765
Nd: 0.5058 0.0001 0.0001
Dy: 0.6267 0.6267 0.6267
S: 0.2413 0.7537 0.7537
S: 0.2432 0.2432 0.2432
S: 0.2445 0.2445 0.7756
S: 0.2445 0.7756 0.2445
S: 0.7537 0.2413 0.7537
S: 0.7537 0.7537 0.2413
S: 0.7554 0.7554 0.7554
S: 0.7756 0.2445 0.2445


[20]
A geometry-optimized CaBi2Pd5 structure. Source: the Alexandria database, functional PBE.

The formation energy is -0.41 eV per atom. The total moment comes out at 0.00 μB per atom. The value obtained for the excess energy over the best structure of this formula in the dataset is 0 meV/atom. The value obtained for the total energy is -77.967 eV for the cell shown. The space group is Immm (71). Its volume is 330 Å³ per cell.

a b c (Å): 4.3140 5.8747 13.0355
angles (deg): 90.00 90.00 90.00
Positions (direct):
Ca: 0.0000 0.0000 0.0000
Ca: 0.5000 0.5000 0.5000
Bi: 0.0000 0.5000 0.2140
Bi: 0.0000 0.5000 0.7860
Bi: 0.5000 0.0000 0.2860
Bi: 0.5000 0.0000 0.7140
Pd: 0.0000 0.2390 0.3906
Pd: 0.0000 0.2390 0.6094
Pd: 0.0000 0.5000 0.0000
Pd: 0.0000 0.7610 0.3906
Pd: 0.0000 0.7610 0.6094
Pd: 0.5000 0.0000 0.5000
Pd: 0.5000 0.2610 0.1094
Pd: 0.5000 0.2610 0.8906
Pd: 0.5000 0.7390 0.1094
Pd: 0.5000 0.7390 0.8906